Compound: CePaFeN4
Source: Alexandria via LeMat-Bulk
Functional: PBE-GGA
Structure: relaxed

## Properties
* volume: 12.1 Å³/atom
* total energy: -9.244 eV/atom

a = 3.7326 Å, b = 3.7326 Å, c = 6.6051 Å
α = 106.41°, β = 106.41°, γ = 90.00°
Last column: nearest neighbours and their distance in Å.
Fractional positions:
Ce  0.6426  0.6426  0.2851  1 N 2.24
N  0.8276  0.8276  0.6553  1 Fe 2.04, 1 Ce 2.24
Fe  0.9958  0.9958  0.9917  5 N 1.87-2.04
Pa  0.3623  0.3623  0.7247  1 N 2.17
N  0.1828  0.1828  0.3657  1 Pa 2.17, 1 Fe 2.26
N  0.9944  0.4944  0.9888  2 Fe 1.87
N  0.4944  0.9944  0.9888  2 Fe 1.87



Compound: Ce2PaFeN4
Source: Alexandria via LeMat-Bulk
Functional: PBE-GGA
Structure: relaxed

## Properties
* volume: 13.5 Å³/atom
* total energy: -8.617 eV/atom

a = 5.9331 Å, b = 5.1953 Å, c = 5.1953 Å
α = 70.97°, β = 55.18°, γ = 55.18°
Last column: nearest neighbours and their distance in Å.
Fractional positions:
Fe  0.5000  0.0000  0.0000  4 N 2.01
N  0.8947  0.0000  0.6299  1 Fe 2.01
N  0.5247  0.0000  0.3701  1 Fe 2.01
N  0.1053  0.3701  0.0000  1 Fe 2.01
Pa  0.0000  0.0000  0.0000  4 N 2.34
N  0.4753  0.6299  0.0000  1 Fe 2.01
Ce  0.0000  0.5000  0.5000  8 N 2.53-2.80
Ce  0.5000  0.5000  0.5000  8 N 2.53-2.80



Compound: Ce6FePb2N
Source: Alexandria via LeMat-Bulk
Functional: PBE-GGA
Structure: relaxed

## Properties
* volume: 25.8 Å³/atom
* total energy: -6.462 eV/atom

a = 7.0404 Å, b = 7.0403 Å, c = 7.2008 Å
α = 60.72°, β = 60.72°, γ = 89.96°
Last column: nearest neighbours and their distance in Å.
Fractional positions:
Ce  0.2466  0.7534  0.0000  1 N 2.45, 1 Fe 2.52
Ce  0.7534  0.2466  0.0000  1 N 2.45, 1 Fe 2.52
Pb  0.7500  0.2500  0.5000  12 Ce 3.52-3.60
Ce  0.7673  0.7673  0.4654  1 N 2.42
N  0.0000  0.0000  0.0000  6 Ce 2.42-2.45
Ce  0.2327  0.2327  0.5346  1 N 2.42
Pb  0.2500  0.7500  0.5000  12 Ce 3.52-3.60
Ce  0.2463  0.2464  0.0000  1 N 2.45, 1 Fe 2.53
Ce  0.7537  0.7536  0.0000  1 N 2.45, 1 Fe 2.53
Fe  0.5000  0.5000  0.0000  6 Ce 2.52-2.78



Compound: Ce2PmFeN4
Source: Alexandria via LeMat-Bulk
Functional: PBE-GGA
Structure: relaxed

## Properties
* volume: 14.8 Å³/atom
* total energy: -8.411 eV/atom

a = 3.5229 Å, b = 6.0354 Å, c = 11.6313 Å
α = 90.00°, β = 90.00°, γ = 106.97°
Last column: nearest neighbours and their distance in Å.
Fractional positions:
N  0.0000  0.0000  0.0000  4 Ce 2.41
N  0.2665  0.5330  0.1226  1 Fe 1.92
N  0.7335  0.4670  0.6226  1 Fe 1.92
Pm  0.1014  0.2029  0.7500  6 N 2.53-2.76
Ce  0.6317  0.2634  0.0554  6 N 2.38-2.48
N  0.2665  0.5330  0.3774  1 Fe 1.92
Ce  0.3683  0.7366  0.5554  6 N 2.38-2.48
Ce  0.3683  0.7366  0.9446  6 N 2.38-2.48
N  0.4445  0.8890  0.7500  2 Fe 2.14
N  0.7335  0.4670  0.8774  1 Fe 1.92
Fe  0.8394  0.6788  0.7500  4 N 1.92-2.14
N  0.5555  0.1110  0.2500  2 Fe 2.14
Fe  0.1606  0.3212  0.2500  4 N 1.92-2.14
Pm  0.8986  0.7971  0.2500  6 N 2.53-2.76
N  0.0000  0.0000  0.5000  4 Ce 2.41
Ce  0.6317  0.2634  0.4446  6 N 2.38-2.48



Compound: Ce2PrFe2N6
Source: Alexandria via LeMat-Bulk
Functional: PBE-GGA
Structure: relaxed

## Properties
* volume: 15.2 Å³/atom
* total energy: -8.129 eV/atom

a = 5.5535 Å, b = 5.5535 Å, c = 7.0369 Å
α = 66.76°, β = 66.76°, γ = 60.00°
Last column: nearest neighbours and their distance in Å.
Fractional positions:
N  0.2246  0.7343  0.3067  1 Fe 1.70
Ce  0.2022  0.2022  0.3934  3 N 2.45
N  0.2656  0.2656  0.6933  1 Fe 1.70
Fe  0.5885  0.5885  0.2345  3 N 1.70
N  0.2656  0.7754  0.6933  1 Fe 1.70
Ce  0.7978  0.7978  0.6066  3 N 2.45
N  0.7343  0.7343  0.3067  1 Fe 1.70
Fe  0.4115  0.4115  0.7655  3 N 1.70
N  0.7343  0.2246  0.3067  1 Fe 1.70
N  0.7754  0.2656  0.6933  1 Fe 1.70
Pr  0.0000  0.0000  0.0000  6 N 2.48



Compound: CePr2FeN4
Source: Alexandria via LeMat-Bulk
Functional: PBE-GGA
Structure: relaxed

## Properties
* volume: 15.6 Å³/atom
* total energy: -8.056 eV/atom

a = 3.5119 Å, b = 6.0696 Å, c = 12.2419 Å
α = 90.00°, β = 90.00°, γ = 106.82°
Last column: nearest neighbours and their distance in Å.
Fractional positions:
Fe  0.8275  0.6549  0.7500  2 N 1.86
Pr  0.6316  0.2631  0.0517  6 N 2.41-2.65
N  0.2781  0.5563  0.3641  1 Fe 1.86
Pr  0.3684  0.7369  0.9483  6 N 2.41-2.65
N  0.7219  0.4437  0.6359  1 Fe 1.86
N  0.0000  0.0000  0.5000  4 Pr 2.41
N  0.4461  0.8921  0.7500  2 Fe 2.23, 2 Ce 2.48
N  0.5539  0.1079  0.2500  2 Fe 2.23, 2 Ce 2.48
Fe  0.1725  0.3451  0.2500  2 N 1.86
Pr  0.3684  0.7369  0.5517  6 N 2.41-2.65
N  0.2781  0.5563  0.1359  1 Fe 1.86
Ce  0.9037  0.8073  0.2500  6 N 2.48-2.68
Pr  0.6316  0.2631  0.4483  6 N 2.41-2.65
N  0.7219  0.4437  0.8641  1 Fe 1.86
N  0.0000  0.0000  0.0000  4 Pr 2.41
Ce  0.0963  0.1927  0.7500  6 N 2.48-2.68



Compound: CePuFeN4
Source: Alexandria via LeMat-Bulk
Functional: PBE-GGA
Structure: relaxed

## Properties
* volume: 11.8 Å³/atom
* total energy: -9.672 eV/atom

a = 5.2322 Å, b = 5.1989 Å, c = 6.6186 Å
α = 90.00°, β = 113.28°, γ = 90.00°
Last column: nearest neighbours and their distance in Å.
Fractional positions:
Fe  0.2394  0.7500  0.4789  5 N 1.85-1.95
Ce  0.1087  0.2500  0.2174  5 N 2.28-2.52
N  0.0000  0.0000  0.5000  2 Fe 1.85
N  0.4345  0.7500  0.8690  1 Pu 2.13, 1 Fe 2.37
N  0.9213  0.2500  0.8426  1 Fe 1.95
Pu  0.6094  0.7500  0.2187  1 N 2.13
N  0.0787  0.7500  0.1574  1 Fe 1.95
N  0.5000  0.0000  0.5000  2 Fe 1.85
Ce  0.8913  0.7500  0.7826  5 N 2.28-2.52
Fe  0.7606  0.2500  0.5211  5 N 1.85-1.95
Pu  0.3906  0.2500  0.7813  1 N 2.13
N  0.5655  0.2500  0.1310  1 Pu 2.13, 1 Fe 2.37
N  0.0000  0.5000  0.5000  2 Fe 1.85
N  0.5000  0.5000  0.5000  2 Fe 1.85



Compound: Ce2FeReN5
Source: Alexandria via LeMat-Bulk
Functional: PBE-GGA
Structure: relaxed

## Properties
* volume: 12.0 Å³/atom
* total energy: -8.990 eV/atom

a = 3.3486 Å, b = 6.9729 Å, c = 9.5592 Å
α = 90.00°, β = 90.00°, γ = 103.89°
Last column: nearest neighbours and their distance in Å.
Fractional positions:
N  0.5033  0.0066  0.7839  1 Fe 1.83
N  0.3017  0.6034  0.6503  2 Re 2.11
Re  0.7983  0.5966  0.5161  5 N 1.95-2.17
Ce  0.1235  0.2470  0.6942  8 N 2.45-2.70
N  0.6983  0.3966  0.1503  2 Re 2.11
N  0.6885  0.3770  0.8730  1 Fe 1.90
Ce  0.1268  0.2536  0.3135  7 N 2.45-2.56
Fe  0.4390  0.8781  0.4567  4 N 1.83-1.90
Ce  0.8732  0.7464  0.8135  7 N 2.45-2.56
N  0.0377  0.0754  0.0283  2 Fe 1.84
N  0.6546  0.3092  0.5080  1 Re 1.95
Ce  0.8765  0.7530  0.1942  8 N 2.45-2.70
Fe  0.5610  0.1219  0.9567  4 N 1.83-1.90
Re  0.2017  0.4034  0.0161  5 N 1.95-2.17
N  0.9623  0.9246  0.5283  2 Fe 1.84
N  0.4967  0.9934  0.2839  1 Fe 1.83
N  0.3115  0.6230  0.3730  1 Fe 1.90
N  0.3454  0.6908  0.0080  1 Re 1.95



Compound: Ce2FeReN6
Source: Alexandria via LeMat-Bulk
Functional: PBE-GGA
Structure: relaxed

## Properties
* volume: 11.4 Å³/atom
* total energy: -8.920 eV/atom

a = 5.4123 Å, b = 5.5123 Å, c = 7.6570 Å
α = 90.00°, β = 90.15°, γ = 90.00°
Last column: nearest neighbours and their distance in Å.
Fractional positions:
Fe  0.0000  0.5000  0.5000  6 N 1.94-1.98
Re  0.0000  0.5000  0.0000  6 N 1.98-2.01
N  0.7996  0.8018  0.9610  1 Fe 1.98, 1 Re 2.01
Re  0.5000  0.0000  0.5000  6 N 1.98-2.01
N  0.3037  0.7020  0.0379  1 Fe 1.98, 1 Re 2.01
Ce  0.0045  0.9520  0.2509  6 N 2.36-2.61
N  0.7004  0.3018  0.5390  1 Fe 1.98, 1 Re 2.01
N  0.1963  0.2020  0.4621  1 Fe 1.98, 1 Re 2.01
N  0.2996  0.6982  0.4610  1 Fe 1.98, 1 Re 2.01
N  0.4274  0.9834  0.7526  1 Fe 1.94, 1 Re 1.98
Ce  0.5045  0.5480  0.7509  6 N 2.36-2.61
Fe  0.5000  0.0000  0.0000  6 N 1.94-1.98
N  0.9274  0.5166  0.2526  1 Fe 1.94, 1 Re 1.98
N  0.6963  0.2980  0.9621  1 Fe 1.98, 1 Re 2.01
N  0.5726  0.0166  0.2474  1 Fe 1.94, 1 Re 1.98
Ce  0.4955  0.4520  0.2491  6 N 2.36-2.61
N  0.8037  0.7980  0.5379  1 Fe 1.98, 1 Re 2.01
N  0.2004  0.1982  0.0390  1 Fe 1.98, 1 Re 2.01
N  0.0726  0.4834  0.7474  1 Fe 1.94, 1 Re 1.98
Ce  0.9955  0.0480  0.7491  6 N 2.36-2.61



Repeat the ninth record exactly.
Compound: Ce2FeReN6
Source: Alexandria via LeMat-Bulk
Functional: PBE-GGA
Structure: relaxed

## Properties
* volume: 11.4 Å³/atom
* total energy: -8.920 eV/atom

a = 5.4123 Å, b = 5.5123 Å, c = 7.6570 Å
α = 90.00°, β = 90.15°, γ = 90.00°
Last column: nearest neighbours and their distance in Å.
Fractional positions:
Fe  0.0000  0.5000  0.5000  6 N 1.94-1.98
Re  0.0000  0.5000  0.0000  6 N 1.98-2.01
N  0.7996  0.8018  0.9610  1 Fe 1.98, 1 Re 2.01
Re  0.5000  0.0000  0.5000  6 N 1.98-2.01
N  0.3037  0.7020  0.0379  1 Fe 1.98, 1 Re 2.01
Ce  0.0045  0.9520  0.2509  6 N 2.36-2.61
N  0.7004  0.3018  0.5390  1 Fe 1.98, 1 Re 2.01
N  0.1963  0.2020  0.4621  1 Fe 1.98, 1 Re 2.01
N  0.2996  0.6982  0.4610  1 Fe 1.98, 1 Re 2.01
N  0.4274  0.9834  0.7526  1 Fe 1.94, 1 Re 1.98
Ce  0.5045  0.5480  0.7509  6 N 2.36-2.61
Fe  0.5000  0.0000  0.0000  6 N 1.94-1.98
N  0.9274  0.5166  0.2526  1 Fe 1.94, 1 Re 1.98
N  0.6963  0.2980  0.9621  1 Fe 1.98, 1 Re 2.01
N  0.5726  0.0166  0.2474  1 Fe 1.94, 1 Re 1.98
Ce  0.4955  0.4520  0.2491  6 N 2.36-2.61
N  0.8037  0.7980  0.5379  1 Fe 1.98, 1 Re 2.01
N  0.2004  0.1982  0.0390  1 Fe 1.98, 1 Re 2.01
N  0.0726  0.4834  0.7474  1 Fe 1.94, 1 Re 1.98
Ce  0.9955  0.0480  0.7491  6 N 2.36-2.61



- Which of these has the highest volume?
  Ce6FePb2N



- Which value of volume does entry 4 give?
  14.8 Å³/atom



- Which of these has the lowest volume?
  Ce2FeReN6